<one>
A plane-wave DFT calculation with PBE was carried out for a relaxed structure of BeZnFeTc.

Lattice parameters (Å, degrees): 4.097 4.097 4.097 60.00 60.00 60.00
Element x y z (fractional)
Be: 0.500 0.500 0.500
Zn: 0.000 0.000 0.000
Tc: 0.250 0.250 0.250
Fe: 0.750 0.750 0.750

<two>
A plane-wave DFT calculation with PBE was carried out for a relaxed structure of BeZnFeTc.

Lattice parameters (Å, degrees): 4.034 4.034 4.034 60.00 60.00 60.00
Element x y z (fractional)
Tc: 0.500 0.500 0.500
Fe: 0.750 0.750 0.750
Zn: 0.000 0.000 0.000
Be: 0.250 0.250 0.250

<two> takes first place; second place is 0.131 eV/atom up.

<one>
A plane-wave DFT calculation with PBE was carried out for a relaxed structure of BeZnFeTe.

Lattice parameters (Å, degrees): 4.338 4.338 4.338 60.00 60.00 60.00
Element x y z (fractional)
Zn: 0.000 0.000 0.000
Te: 0.500 0.500 0.500
Fe: 0.250 0.250 0.250
Be: 0.750 0.750 0.750

<two>
A plane-wave DFT calculation with PBE was carried out for a relaxed structure of BeZnFeTe.

Lattice parameters (Å, degrees): 4.494 4.494 4.494 60.00 60.00 60.00
Element x y z (fractional)
Te: 0.500 0.500 0.500
Be: 0.750 0.750 0.750
Zn: 0.250 0.250 0.250
Fe: 0.000 0.000 0.000

<one> takes first place; second place is 0.103 eV/atom up.

<one>
A plane-wave DFT calculation with PBE was carried out for a relaxed structure of ThBeFe.

Lattice parameters (Å, degrees): 4.290 4.290 4.290 60.00 60.00 60.00
Element x y z (fractional)
Be: 0.000 0.000 0.000
Fe: 0.750 0.750 0.750
Th: 0.500 0.500 0.500

<two>
A plane-wave DFT calculation with PBE was carried out for a relaxed structure of ThBeFe.

Lattice parameters (Å, degrees): 4.236 4.236 4.236 60.00 60.00 60.00
Element x y z (fractional)
Fe: 0.250 0.250 0.250
Be: 0.000 0.000 0.000
Th: 0.750 0.750 0.750

<one> takes first place; second place is 0.153 eV/atom up.

<one>
A plane-wave DFT calculation with PBE was carried out for a relaxed structure of ZrBeTlFe.

Lattice parameters (Å, degrees): 4.571 4.571 4.571 60.00 60.00 60.00
Element x y z (fractional)
Zr: 0.250 0.250 0.250
Fe: 0.750 0.750 0.750
Be: 0.500 0.500 0.500
Tl: 0.000 0.000 0.000

<two>
A plane-wave DFT calculation with PBE was carried out for a relaxed structure of ZrBeTlFe.

Lattice parameters (Å, degrees): 4.493 4.493 4.493 60.00 60.00 60.00
Element x y z (fractional)
Tl: 0.000 0.000 0.000
Be: 0.250 0.250 0.250
Fe: 0.750 0.750 0.750
Zr: 0.500 0.500 0.500

<two> takes first place; second place is 0.162 eV/atom up.

<one>
A plane-wave DFT calculation with PBE was carried out for a relaxed structure of TmBeFe.

Lattice parameters (Å, degrees): 4.395 4.395 4.395 60.00 60.00 60.00
Element x y z (fractional)
Fe: 0.750 0.750 0.750
Tm: 0.000 0.000 0.000
Be: 0.250 0.250 0.250

<two>
A plane-wave DFT calculation with PBE was carried out for a relaxed structure of TmBeFe.

Lattice parameters (Å, degrees): 4.132 4.132 4.132 60.00 60.00 60.00
Site moments in Bohr magnetons follow the coordinates.
Element x y z (fractional)
Fe: 0.250 0.250 0.250  1.61
Tm: 0.750 0.750 0.750  -0.41
Be: 0.000 0.000 0.000  -0.18

<two> takes first place; second place is 0.736 eV/atom up.

<one>
A plane-wave DFT calculation with PBE was carried out for a relaxed structure of BeGaGeIr.

Lattice parameters (Å, degrees): 4.298 4.298 4.298 60.00 60.00 60.00
Element x y z (fractional)
Ga: 0.500 0.500 0.500
Ir: 0.000 0.000 0.000
Ge: 0.250 0.250 0.250
Be: 0.750 0.750 0.750

<two>
A plane-wave DFT calculation with PBE was carried out for a relaxed structure of BeGaGeIr.

Lattice parameters (Å, degrees): 4.322 4.322 4.322 60.00 60.00 60.00
Element x y z (fractional)
Ir: 0.000 0.000 0.000
Ge: 0.500 0.500 0.500
Ga: 0.250 0.250 0.250
Be: 0.750 0.750 0.750

<one> takes first place; second place is 0.020 eV/atom up.

<one>
A plane-wave DFT calculation with PBE was carried out for a relaxed structure of HfBeGa.

Lattice parameters (Å, degrees): 4.329 4.329 4.329 60.00 60.00 60.00
Element x y z (fractional)
Be: 0.250 0.250 0.250
Hf: 0.000 0.000 0.000
Ga: 0.750 0.750 0.750

<two>
A plane-wave DFT calculation with PBE was carried out for a relaxed structure of HfBeGa.

Lattice parameters (Å, degrees): 4.066 4.066 4.066 60.00 60.00 60.00
Element x y z (fractional)
Hf: 0.750 0.750 0.750
Be: 0.000 0.000 0.000
Ga: 0.250 0.250 0.250

<three>
A plane-wave DFT calculation with PBE was carried out for a relaxed structure of HfBeGa.

Lattice parameters (Å, degrees): 6.451 4.004 6.945 90.00 90.00 90.00
Element x y z (fractional)
Ga: 0.746 0.250 0.417
Be: 0.746 0.750 0.583
Ga: 0.246 0.250 0.083
Hf: 0.500 0.750 0.246
Hf: 0.500 0.250 0.754
Be: 0.246 0.750 0.917
Hf: 0.000 0.750 0.254
Be: 0.254 0.250 0.417
Hf: 0.000 0.250 0.746
Be: 0.754 0.250 0.083
Ga: 0.754 0.750 0.917
Ga: 0.254 0.750 0.583

<three> takes first place; second place is 0.270 eV/atom up.

<one>
A plane-wave DFT calculation with PBE was carried out for a relaxed structure of BeInGaNi.

Lattice parameters (Å, degrees): 4.359 4.359 4.359 60.00 60.00 60.00
Element x y z (fractional)
Ga: 0.250 0.250 0.250
Ni: 0.500 0.500 0.500
In: 0.000 0.000 0.000
Be: 0.750 0.750 0.750

<two>
A plane-wave DFT calculation with PBE was carried out for a relaxed structure of BeInGaNi.

Lattice parameters (Å, degrees): 4.343 4.343 4.343 60.00 60.00 60.00
Element x y z (fractional)
Be: 0.750 0.750 0.750
In: 0.000 0.000 0.000
Ga: 0.500 0.500 0.500
Ni: 0.250 0.250 0.250

<two> takes first place; second place is 0.100 eV/atom up.

<one>
A plane-wave DFT calculation with PBE was carried out for a relaxed structure of BeInGaPd.

Lattice parameters (Å, degrees): 4.514 4.514 4.514 60.00 60.00 60.00
Element x y z (fractional)
In: 0.000 0.000 0.000
Be: 0.750 0.750 0.750
Ga: 0.500 0.500 0.500
Pd: 0.250 0.250 0.250

<two>
A plane-wave DFT calculation with PBE was carried out for a relaxed structure of BeInGaPd.

Lattice parameters (Å, degrees): 4.495 4.495 4.495 60.00 60.00 60.00
Element x y z (fractional)
Pd: 0.500 0.500 0.500
In: 0.000 0.000 0.000
Ga: 0.250 0.250 0.250
Be: 0.750 0.750 0.750

<one> takes first place; second place is 0.016 eV/atom up.

<one>
A plane-wave DFT calculation with PBE was carried out for a relaxed structure of BeGaIr.

Lattice parameters (Å, degrees): 3.839 3.839 3.839 60.00 60.00 60.00
Element x y z (fractional)
Ga: 0.250 0.250 0.250
Ir: 0.750 0.750 0.750
Be: 0.000 0.000 0.000

<two>
A plane-wave DFT calculation with PBE was carried out for a relaxed structure of BeGaIr.

Lattice parameters (Å, degrees): 4.008 4.008 4.008 60.00 60.00 60.00
Element x y z (fractional)
Be: 0.250 0.250 0.250
Ga: 0.750 0.750 0.750
Ir: 0.000 0.000 0.000

<one> takes first place; second place is 0.080 eV/atom up.

<one>
A plane-wave DFT calculation with PBE was carried out for a relaxed structure of BeGaSnIr.

Lattice parameters (Å, degrees): 4.464 4.464 4.464 60.00 60.00 60.00
Element x y z (fractional)
Ir: 0.000 0.000 0.000
Ga: 0.250 0.250 0.250
Be: 0.750 0.750 0.750
Sn: 0.500 0.500 0.500

<two>
A plane-wave DFT calculation with PBE was carried out for a relaxed structure of BeGaSnIr.

Lattice parameters (Å, degrees): 4.471 4.471 4.471 60.00 60.00 60.00
Element x y z (fractional)
Ir: 0.250 0.250 0.250
Ga: 0.000 0.000 0.000
Be: 0.750 0.750 0.750
Sn: 0.500 0.500 0.500

<two> takes first place; second place is 0.060 eV/atom up.

<one>
A plane-wave DFT calculation with PBE was carried out for a relaxed structure of ZrBeGaIr.

Lattice parameters (Å, degrees): 4.424 4.424 4.424 60.00 60.00 60.00
Element x y z (fractional)
Ga: 0.000 0.000 0.000
Be: 0.750 0.750 0.750
Ir: 0.500 0.500 0.500
Zr: 0.250 0.250 0.250

<two>
A plane-wave DFT calculation with PBE was carried out for a relaxed structure of ZrBeGaIr.

Lattice parameters (Å, degrees): 4.357 4.357 4.357 60.00 60.00 60.00
Element x y z (fractional)
Zr: 0.000 0.000 0.000
Ga: 0.250 0.250 0.250
Ir: 0.500 0.500 0.500
Be: 0.750 0.750 0.750

<three>
A plane-wave DFT calculation with PBE was carried out for a relaxed structure of ZrBeGaIr.

Lattice parameters (Å, degrees): 4.407 4.407 4.407 60.00 60.00 60.00
Element x y z (fractional)
Ir: 0.250 0.250 0.250
Zr: 0.000 0.000 0.000
Be: 0.750 0.750 0.750
Ga: 0.500 0.500 0.500

<three> takes first place; second place is 0.036 eV/atom up.